First-principles (PBE+U) data for an optimized crystal structure of SrCrNF2, as listed in Alexandria.

Cell lengths 4.2639, 4.2639, 3.8706 Å; angles 90.00, 90.00, 90.00 degrees
Atoms (fractional coordinates):
Sr (0.5000, 0.5000, 0.5000)
N (0.0000, 0.0000, 0.5000)
F (0.0000, 0.5000, 0.0000)
F (0.5000, 0.0000, 0.0000)
Cr (0.0000, 0.0000, 0.0000)

Properties
Its space group is P4/mmm (123). As for the theoretical density: 4.52 g/cm3. The polymorph energy (0 for the lowest one) is 0.000 eV/atom.